Record 1
Rb3Ho3USe8 | PBE | relaxed

```
15
Lattice="7.243 -4.187 0.000 7.243 4.187 0.000 -4.834 0.000 8.134" Properties=species:S:1:pos:R:3 pbc="T T T"
Rb 0.000 0.000 0.000
Rb 3.622 2.094 0.000
Rb 3.622 -2.094 0.000
Ho 1.205 2.094 4.067
Ho 1.205 -2.094 4.067
Ho 4.826 0.000 4.067
U -2.417 0.000 4.067
Se -0.017 0.000 5.620
Se 3.627 2.106 5.620
Se 6.026 2.106 2.514
Se 2.412 0.000 2.494
Se 7.241 0.000 5.641
Se 3.627 -2.106 5.620
Se 6.026 -2.106 2.514
Se 9.670 0.000 2.515
```

Output
Final energy, eV per atom: -5.35



Record 2
Rb4HoU3Se8 | PBE | relaxed

```
16
Lattice="4.244 2.450 8.052 -4.244 2.450 8.052 0.000 -4.901 8.052" Properties=species:S:1:pos:R:3 pbc="T T T"
Rb 0.000 0.000 0.000
Rb -2.122 -1.225 8.052
Rb -2.122 1.225 16.104
Rb 0.000 2.450 8.052
Ho 0.000 0.000 12.078
U -4.244 0.000 12.078
U -2.122 1.225 4.026
U 2.122 1.225 4.026
Se 0.000 0.000 5.625
Se -2.101 -1.213 13.668
Se 0.000 -2.426 10.488
Se -2.101 1.213 10.488
Se 2.101 -1.213 13.668
Se 0.000 2.426 13.668
Se 2.101 1.213 10.488
Se 0.000 0.000 18.531
```

Output
Final energy, eV per atom: -5.72



Record 3
Rb3HoU2Se6 | PBE | relaxed

```
12
Lattice="3.676 -6.367 0.000 3.676 6.367 0.000 -2.452 0.000 8.043" Properties=species:S:1:pos:R:3 pbc="T T T"
Rb 0.000 0.000 0.000
Rb 3.676 2.124 0.000
Rb 3.676 -2.124 0.000
Ho 2.450 0.000 4.021
U 2.450 4.244 4.021
U 2.450 -4.244 4.021
Se 1.235 2.105 2.435
Se 0.019 0.000 5.608
Se 1.235 -2.105 2.435
Se 3.665 2.105 5.608
Se 4.881 0.000 2.435
Se 3.665 -2.105 5.608
```

Output
Final energy, eV per atom: -5.62



- What is the formula in the second record?
  Rb4HoU3Se8